(1)
Crystalline ZrScSb2 at its relaxed geometry. Source: the Alexandria database, functional GGA-PBE.

Computed properties:
- Energy relative to the elements, uncorrected: -158 meV/atom
- Polymorph energy (0 for the lowest one): 0.603 eV/atom
- Space group: No. 122
- ρ: 4450 kg/m3

Unit cell a=6.5969 b=6.5969 c=8.0095 alpha=65.68 beta=65.68 gamma=90.00
Closest atoms and distances in Å follow each position.
Atoms (fractional coordinates):
Sb1 0.3750 0.3716 0.7500  2 Zr 2.83, 2 Sc 2.86
Sb2 0.1216 0.6250 0.2500  2 Zr 2.83, 2 Sc 2.86
Sb3 0.6284 0.1250 0.2500  2 Zr 2.83, 2 Sc 2.86
Sb4 0.8750 0.8784 0.7500  2 Zr 2.83, 2 Sc 2.86
Sc1 0.2500 0.7500 0.5000  4 Sb 2.86
Sc2 0.5000 0.5000 0.0000  4 Sb 2.86
Zr1 0.0000 0.0000 0.0000  4 Sb 2.83
Zr2 0.7500 0.2500 0.5000  4 Sb 2.83

---

(2)
Crystalline Co2PtWN at its relaxed geometry. Source: the Alexandria database, functional GGA-PBE.

Computed properties:
- Energy relative to the elements, uncorrected: -67 meV/atom
- Space group: No. 123
- ρ: 14130 kg/m3

Unit cell a=3.8640 b=3.8640 c=4.0205 alpha=90.00 beta=90.00 gamma=90.00
Closest atoms and distances in Å follow each position.
Atoms (fractional coordinates):
Pt1 0.5000 0.5000 0.5000  4 W 2.73, 8 Co 2.79
W1 0.0000 0.0000 0.5000  2 N 2.01
Co1 0.0000 0.5000 0.0000  2 N 1.93
Co2 0.5000 0.0000 0.0000  2 N 1.93
N1 0.0000 0.0000 0.0000  4 Co 1.93, 2 W 2.01

---

(3)
Crystalline InHg2C at its relaxed geometry. Source: the Alexandria database, functional GGA-PBE.

Computed properties:
- Polymorph energy (0 for the lowest one): 0.000 eV/atom
- Space group: No. 141
- ρ: 7566 kg/m3
- Calculated formation energy: 933 meV/atom

Unit cell a=6.8967 b=6.8967 c=6.8941 alpha=59.99 beta=59.99 gamma=90.00
Closest atoms and distances in Å follow each position.
Atoms (fractional coordinates):
Hg1 0.3752 0.1250 0.2500  2 C 2.11
Hg2 0.3750 0.6248 0.7500  2 C 2.11
Hg3 0.8750 0.6252 0.7500  2 C 2.11
Hg4 0.3748 0.6250 0.2500  2 C 2.11
In1 0.7500 0.2500 0.5000  12 Hg 4.04, 4 In 4.22, 4 C 4.22
In2 0.0000 0.0000 0.0000  12 Hg 4.04, 4 C 4.22, 4 In 4.22
C1 0.2500 0.7500 0.5000  4 Hg 2.11
C2 0.5000 0.5000 0.0000  4 Hg 2.11